# Mo2AsPb (GGA-PBE, optimized geometry)
# **Energy of formation**: 0.16 eV/atom
data_Mo2AsPb
_cell_length_a 3.227
_cell_length_b 3.227
_cell_length_c 7.982
_cell_angle_alpha 90.00
_cell_angle_beta 90.00
_cell_angle_gamma 90.00
_space_group_name_H-M_alt 'P 4 m m'
_space_group_IT_number 99
loop_
_space_group_symop_operation_xyz
'x,y,z'
'-y,x,z'
'-x,-y,z'
'y,-x,z'
'-x,y,z'
'y,x,z'
'x,-y,z'
'-y,-x,z'
loop_
_atom_site_label
_atom_site_type_symbol
_atom_site_fract_x
_atom_site_fract_y
_atom_site_fract_z
Mo1 Mo 0.000 0.000 0.000
Mo2 Mo 0.500 0.500 0.173
As1 As 0.500 0.500 0.817
Pb1 Pb 0.000 0.000 0.441